The following is a DFT calculation (PBE) of an optimized crystal structure of KScGaF2.

It has space group P4/mmm (No. 123), with a = 4.271 Å, b = 4.271 Å, c = 5.957 Å, α = 90.00°, β = 90.00° and γ = 90.00°. The asymmetric unit holds K at (0.000, 0.000, 0.000), Sc at (0.500, 0.500, 0.500), Ga at (0.500, 0.500, 0.000) and F at (0.000, 0.500, 0.500).

=====

The following is a DFT calculation (PBE) of an optimized crystal structure of K2SrGaF8.

It has space group P-1 (No. 2), with a = 4.581 Å, b = 5.915 Å, c = 7.375 Å, α = 88.80°, β = 89.86° and γ = 86.07°. The asymmetric unit holds K at (0.002, 0.490, 0.270), Sr at (0.500, 0.000, 0.000), Ga at (0.500, 0.000, 0.500), F at (0.017, 0.219, 0.999), F at (0.119, 0.154, 0.516), F at (0.426, 0.789, 0.309) and F at (0.441, 0.789, 0.699).

=====

The following is a DFT calculation (PBE) of an optimized crystal structure of KTiGa2F.

It has space group P4/mmm (No. 123), with a = 5.951 Å, b = 5.951 Å, c = 5.971 Å, α = 90.00°, β = 90.00° and γ = 90.00°. The asymmetric unit holds K at (0.000, 0.000, 0.000), Ti at (0.000, 0.000, 0.500), Ga at (0.000, 0.500, 0.000) and F at (0.500, 0.500, 0.500).

=====

The following is a DFT calculation (PBE) of an optimized crystal structure of KTl2Ga3F12.

It has space group R-3m (No. 166, hexagonal axes), with a = 7.4994 Å, b = 7.4994 Å, c = 18.0049 Å, α = 90.00°, β = 90.00° and γ = 120.00°. The asymmetric unit holds K at (0.0000, 0.0000, 0.0000), Tl at (0.0000, 0.0000, 0.3715), Ga at (0.0000, 0.5000, 0.5000), F at (0.0434, 0.5217, 0.3981) and F at (0.0833, 0.5417, 0.8184).

=====

The following is a DFT calculation (PBE) of an optimized crystal structure of KTlGaF2.

It has space group P4/mmm (No. 123), with a = 4.681 Å, b = 4.681 Å, c = 5.312 Å, α = 90.00°, β = 90.00° and γ = 90.00°. The asymmetric unit holds K at (0.000, 0.000, 0.000), Tl at (0.500, 0.500, 0.000), Ga at (0.500, 0.500, 0.500) and F at (0.000, 0.500, 0.500).

=====

The following is a DFT calculation (PBE) of an optimized crystal structure of KTlGaF6.

It has space group P312 (No. 149), with a = 5.9177 Å, b = 5.9177 Å, c = 5.3809 Å, α = 90.00°, β = 90.00° and γ = 120.00°. The asymmetric unit holds K at (0.0000, 0.0000, 0.0000), Tl at (0.3333, 0.6667, 0.5000), Ga at (0.6667, 0.3333, 0.5000) and F at (0.4017, 0.0597, 0.7047).

=====

The following is a DFT calculation (PBE) of an optimized crystal structure of KTl2GaF6.

It has space group Fm-3m (No. 225), with a = 8.953 Å, b = 8.953 Å, c = 8.953 Å, α = 90.00°, β = 90.00° and γ = 90.00°. The asymmetric unit holds K at (0.000, 0.000, 0.000), Tl at (0.250, 0.250, 0.250), Ga at (0.000, 0.000, 0.500) and F at (0.000, 0.000, 0.285).

=====

The following is a DFT calculation (PBE) of an optimized crystal structure of KZn2GaF8.

It has space group C2/m (No. 12), with a = 7.829 Å, b = 6.390 Å, c = 7.188 Å, α = 90.00°, β = 103.14° and γ = 90.00°. The asymmetric unit holds K at (0.000, 0.000, 0.000), Zn at (0.051, 0.500, 0.229), Ga at (0.000, 0.000, 0.500), F at (0.016, 0.214, 0.696), F at (0.162, 0.500, 0.003) and F at (0.248, 0.000, 0.543).

=====

The following is a DFT calculation (PBE) of an optimized crystal structure of K2ZnGa3F12.

It has space group R-3m (No. 166, hexagonal axes), with a = 7.4388 Å, b = 7.4388 Å, c = 17.8949 Å, α = 90.00°, β = 90.00° and γ = 120.00°. The asymmetric unit holds K at (0.0000, 0.0000, 0.1382), Zn at (0.0000, 0.0000, 0.5000), Ga at (0.0000, 0.5000, 0.0000), F at (0.0559, 0.5280, 0.1063) and F at (0.0758, 0.5379, 0.3529).

=====

The following is a DFT calculation (PBE) of an optimized crystal structure of K2ZnGaF6.

It has space group I4/mmm (No. 139), with a = 5.946 Å, b = 5.946 Å, c = 8.431 Å, α = 90.00°, β = 90.00° and γ = 90.00°. The asymmetric unit holds K at (0.000, 0.500, 0.250), Zn at (0.000, 0.000, 0.000), Ga at (0.000, 0.000, 0.500), F at (0.000, 0.000, 0.249) and F at (0.249, 0.249, 0.000).

=====

The following is a DFT calculation (PBE) of an optimized crystal structure of LaGaF3.

The value obtained for the energy above the most stable polymorph in this dataset is 0 meV/atom.

It has space group Pm-3m (No. 221), with a = 4.741 Å, b = 4.741 Å, c = 4.741 Å, α = 90.00°, β = 90.00° and γ = 90.00°. The asymmetric unit holds La at (0.000, 0.000, 0.000), Ga at (0.500, 0.500, 0.500) and F at (0.000, 0.000, 0.500).

=====

The following is a DFT calculation (PBE) of an optimized crystal structure of LaGaF3.

The value obtained for the energy above the most stable polymorph in this dataset is 719 meV/atom.

It has space group Pm-3m (No. 221), with a = 4.433 Å, b = 4.433 Å, c = 4.433 Å, α = 90.00°, β = 90.00° and γ = 90.00°. The asymmetric unit holds La at (0.000, 0.000, 0.000), Ga at (0.500, 0.500, 0.500) and F at (0.000, 0.500, 0.500).

=====

Calculated uncorrected formation energy (kJ per mole of atoms), listed in the same order as above: -178, -267, 114, -244, -119, -230, -231, -240, -246, -237, -271, -202
Calculated total magnetic moment (μB/cell), listed in the same order as above: 0.000, 1.005, 3.232, 0.000, 0.000, 0.269, 0.000, 0.000, 0.000, 0.000, 0.673, 0.996